DFT (PBE) results for a relaxed TbNd4Sm3Te8 crystal.

Computed properties:
DFT total energy   -5.327 eV/atom
Fermi-level density of states   0.782 states/eV per atom
E_form (uncorrected)   -1390.0 meV/atom
Size of the total moment   0.00 μB per atom

Cell: 8.9104 8.9104 21.9534 Å, 90.00 90.00 120.00°
With the nearest neighbours (Å) after each atom.
Space group R-3m (No. 166, hexagonal axes)
One atom of each set of equivalent atoms:
Tb 0.0000 0.0000 0.0000  6 Te 3.11
Nd 0.0000 0.0000 0.5000  6 Te 3.20
Nd 0.0000 0.5000 0.5000  6 Te 3.18
Sm 0.0000 0.5000 0.0000  6 Te 3.14
Te 0.0000 0.0000 0.2515  3 Sm 3.14, 3 Nd 3.18
Te 0.0030 0.5015 0.7477  1 Tb 3.11, 2 Sm 3.14, 3 Nd 3.18-3.20

***

DFT (PBE) results for a relaxed LiMo3 crystal.

Computed properties:
ΔE to the lowest computed polymorph   0.0 kJ per mole of atoms
DFT total energy   -8.369 eV/atom
Fermi-level density of states   0.916 states/eV per atom
Size of the total moment   0.00 μB per atom

Cell: 3.1635 4.3431 9.1894 Å, 90.00 90.00 90.00°
With the nearest neighbours (Å) after each atom.
Space group Cmmm (No. 65)
One atom of each set of equivalent atoms:
Li 0.0000 0.0000 0.0000  4 Li 2.69, 4 Mo 2.84
Mo 0.0000 0.0000 0.5000  8 Mo 2.69-2.74
Mo 0.0000 0.5000 0.2569  6 Mo 2.69-2.74, 2 Li 2.84